Entry from Alexandria via LeMat-Bulk: crystalline B3C at its relaxed geometry (PBE). Values from VASP.

Quantum ESPRESSO input file:
```
&SYSTEM
  ibrav = 0, nat = 12, ntyp = 2
/
ATOMIC_SPECIES
B 10.81 B.upf
C 12.01 C.upf
CELL_PARAMETERS angstrom
-1.183 2.283 -0.691
0.823 -0.368 2.505
14.088 6.177 -3.720
ATOMIC_POSITIONS angstrom
B 7.700 3.824 -0.553
B 8.915 5.534 -2.116
B 10.353 4.539 -2.734
B 12.920 6.113 -1.931
B 1.438 2.256 -0.141
B 11.849 5.195 -3.129
B 7.421 4.879 -1.721
B 2.864 1.256 -0.756
B 4.521 2.431 0.287
C 4.258 1.867 -1.124
C 0.041 1.643 0.227
C 0.238 0.553 1.418
```

Output
The volume comes out at 32 Å³/f.u. The formation energy comes out at 0.587 eV per atom. The calculation puts the magnetic moment at 0.000 μB per atom. The density is 2.3 g cm⁻³. The value obtained for the energy above the most stable polymorph in this dataset is 0.346 eV/atom. As for the space group: P3m1 (156).